Tl2AgSe2 after structural relaxation. Source: Alexandria, functional PBEsol.

Geometry as extended XYZ:
```
5
Lattice="-1.924 1.924 8.405 1.924 -1.924 8.405 1.924 1.924 -8.405" Properties=species:S:1:pos:R:3 pbc="T T T"
Tl 0.000 0.000 1.602
Tl 0.000 0.000 15.209
Ag 0.000 0.000 8.405
Se 1.924 0.000 4.203
Se 0.000 1.924 4.203
```

Properties
- Formation energy (no corrections): 0.08 eV per atom
- Total magnetic moment: 0.000 μB per formula unit